Here is an optimized crystal structure of GaNi6Pt5 from the Alexandria database. Energies are from PBE-GGA.

a = 7.0400 Å, b = 7.0400 Å, c = 7.0400 Å
α = 148.65°, β = 116.96°, γ = 72.10°
Atoms (fractional coordinates):
Ga: 0.0000 0.0000 0.0000
Ni: 0.0832 0.8332 0.2500
Ni: 0.2521 0.5000 0.7521
Ni: 0.4168 0.1668 0.2500
Ni: 0.5832 0.8332 0.7500
Ni: 0.7479 0.5000 0.2479
Ni: 0.9168 0.1668 0.7500
Pt: 0.1595 0.6595 0.5000
Pt: 0.3323 0.3323 0.0000
Pt: 0.5000 0.0000 0.5000
Pt: 0.6677 0.6677 0.0000
Pt: 0.8405 0.3405 0.5000

Output
- crystal system = orthorhombic
- energy of formation (meV/atom) = -183